The following is a DFT calculation (PBE-GGA) of an optimized crystal structure of V3CoH7.

Output
Volume (Å³ per atom): 6.3
SG: Cm (8)
ρ (g/cm3): 5.22
DFT total energy (eV per atom): -5.40

Cell: 4.114 4.114 4.991 Å, 66.21 66.21 89.36°
Element x y z (fractional)
1 Co 0.996 0.996 0.003
2 H 0.119 0.628 0.245
3 H 0.871 0.871 0.763
4 H 0.127 0.127 0.232
5 H 0.628 0.119 0.245
6 H 0.634 0.634 0.241
7 H 0.362 0.890 0.761
8 V 0.251 0.748 0.504
9 H 0.890 0.362 0.761
10 V 0.501 0.501 0.990
11 V 0.748 0.251 0.504